(1)
## CrAgAs2Se (PBE)

Data for an optimized crystal structure of CrAgAs2Se.

Properties
- Fermi-level density of states (states/eV/cell) = 5.04
- SG = P4/mmm
- E above lowest polymorph (eV/f.u.) = 0.00
- mass density (g/cm3) = 5.989
- formation energy without anion corrections (eV per atom) = 0.43

The structure in extended XYZ format:
```
5
Lattice="4.5183 0.0000 0.0000 0.0000 4.5183 0.0000 0.0000 0.0000 5.2783" Properties=species:S:1:pos:R:3 pbc="T T T"
Cr 0.0000 0.0000 0.0000
Ag 2.2591 2.2591 2.6392
As 0.0000 2.2591 0.0000
As 2.2591 0.0000 0.0000
Se 0.0000 0.0000 2.6392
```

(2)
## CrAgAsSe2 (PBE)

Data for an optimized crystal structure of CrAgAsSe2.

Properties
- Fermi-level density of states (states/eV/cell) = 4.65
- SG = P4/mmm
- E above lowest polymorph (eV/f.u.) = 0.00
- mass density (g/cm3) = 5.855
- formation energy without anion corrections (eV per atom) = 0.34

The structure in extended XYZ format:
```
5
Lattice="4.8709 0.0000 0.0000 0.0000 4.8709 0.0000 0.0000 0.0000 4.6943" Properties=species:S:1:pos:R:3 pbc="T T T"
Cr 0.0000 0.0000 0.0000
Ag 2.4354 2.4354 2.3472
As 0.0000 0.0000 2.3472
Se 0.0000 2.4354 0.0000
Se 2.4354 0.0000 0.0000
```

(3)
## CrSiAg2As (PBE)

Data for an optimized crystal structure of CrSiAg2As.

Properties
- Fermi-level density of states (states/eV/cell) = 2.31
- SG = P4/mmm
- mass density (g/cm3) = 5.455
- formation energy without anion corrections (eV per atom) = 0.78

The structure in extended XYZ format:
```
5
Lattice="4.8878 0.0000 0.0000 0.0000 4.8878 0.0000 0.0000 0.0000 4.7241" Properties=species:S:1:pos:R:3 pbc="T T T"
Cr 0.0000 0.0000 0.0000
Si 2.4439 2.4439 0.0000
Ag 0.0000 2.4439 2.3620
Ag 2.4439 0.0000 2.3620
As 0.0000 0.0000 2.3620
```

(4)
## CrAg2TeAs (PBE)

Data for an optimized crystal structure of CrAg2TeAs.

Properties
- Fermi-level density of states (states/eV/cell) = 2.63
- SG = P4/mmm
- mass density (g/cm3) = 6.406
- formation energy without anion corrections (eV per atom) = 0.67

The structure in extended XYZ format:
```
5
Lattice="5.1517 0.0000 0.0000 0.0000 5.1517 0.0000 0.0000 0.0000 4.5930" Properties=species:S:1:pos:R:3 pbc="T T T"
Cr 0.0000 0.0000 0.0000
Ag 0.0000 2.5758 0.0000
Ag 2.5758 0.0000 0.0000
Te 2.5758 2.5758 2.2965
As 0.0000 0.0000 2.2965
```

(5)
## CsAgAs (PBE)

Data for an optimized crystal structure of CsAgAs.

Properties
- formation enthalpy at 0 K (meV/atom) = -169
- Fermi-level density of states (states/eV/cell) = 2.61
- SG = P-6m2
- E above lowest polymorph (eV/f.u.) = 0.19
- mass density (g/cm3) = 5.187

The structure in extended XYZ format:
```
3
Lattice="4.4482 0.0000 0.0000 -2.2241 3.8523 0.0000 0.0000 0.0000 5.8976" Properties=species:S:1:pos:R:3 pbc="T T T"
Cs 0.0000 0.0000 0.0000
Ag 2.2241 1.2841 2.9488
As 0.0000 2.5682 2.9488
```

(6)
## Cs8AgAs2 (PBE)

Data for an optimized crystal structure of Cs8AgAs2.

Properties
- formation enthalpy at 0 K (meV/atom) = -182
- Fermi-level density of states (states/eV/cell) = 4.26
- SG = C2/m
- mass density (g/cm3) = 3.445

The structure in extended XYZ format:
```
11
Lattice="12.2668 -2.9374 0.0000 12.2668 2.9374 0.0000 -2.4791 0.0000 8.8341" Properties=species:S:1:pos:R:3 pbc="T T T"
Cs 0.4642 0.0000 2.5936
Cs 3.2652 0.0000 7.3055
Cs 6.4661 0.0000 4.7529
Cs 9.5274 0.0000 0.2344
Cs 12.5271 0.0000 8.5996
Cs 15.5884 0.0000 4.0812
Cs 18.7893 0.0000 1.5286
Cs 21.5903 0.0000 6.2404
Ag 11.0272 0.0000 4.4170
As 4.0494 0.0000 1.7832
As 18.0051 0.0000 7.0509
```

(7)
## CsAgAs2 (PBE)

Data for an optimized crystal structure of CsAgAs2.

Properties
- formation enthalpy at 0 K (meV/atom) = 568
- Fermi-level density of states (states/eV/cell) = 2.77
- SG = Fm-3m
- mass density (g/cm3) = 6.143

The structure in extended XYZ format:
```
4
Lattice="0.0000 3.7513 3.7513 3.7513 0.0000 3.7513 3.7513 3.7513 0.0000" Properties=species:S:1:pos:R:3 pbc="T T T"
Cs 0.0000 0.0000 0.0000
Ag 3.7513 3.7513 3.7513
As 1.8757 1.8757 1.8757
As 5.6270 5.6270 5.6270
```

(8)
## Cs12Ag5As3 (PBE)

Data for an optimized crystal structure of Cs12Ag5As3.

Properties
- formation enthalpy at 0 K (meV/atom) = 5
- Fermi-level density of states (states/eV/cell) = 75.74
- SG = Ia-3d
- mass density (g/cm3) = 3.135

The structure in extended XYZ format:
```
80
Lattice="-10.7704 10.7704 10.7704 10.7704 -10.7704 10.7704 10.7704 10.7704 -10.7704" Properties=species:S:1:pos:R:3 pbc="T T T"
Cs 3.3537 -0.3100 1.5993
Cs 12.8019 6.9845 -5.6952
Cs 10.4604 -1.5993 3.3537
Cs 16.4656 -2.0315 3.7859
Cs 14.1241 0.3100 1.5993
Cs 12.8019 -3.7859 5.6952
Cs 1.5993 3.3537 -0.3100
Cs 14.5563 5.0752 -2.0315
Cs 6.9845 5.6952 -2.0315
Cs 9.1711 3.3537 0.3100
Cs -0.3100 1.5993 3.3537
Cs 5.6952 -2.0315 6.9845
Cs 10.4604 9.1711 -3.3537
Cs 5.6952 2.0315 3.7859
Cs 9.1711 -3.3537 10.4604
Cs 6.9845 -5.6952 12.8019
Cs 3.7859 5.6952 2.0315
Cs 12.3697 7.4167 0.3100
Cs 3.3537 10.4604 -1.5993
Cs 12.8019 3.7859 5.0752
Cs 5.6952 12.8019 -3.7859
Cs 10.4604 1.5993 7.4167
Cs 2.0315 3.7859 5.6952
Cs 3.3537 0.3100 9.1711
Cs 7.4167 10.4604 1.5993
Cs 8.7389 6.9845 5.0752
Cs 0.3100 9.1711 3.3537
Cs 5.0752 -2.0315 14.5563
Cs -2.0315 6.9845 5.6952
Cs 7.4167 0.3100 12.3697
Cs -1.5993 3.3537 10.4604
Cs 6.9845 5.0752 8.7389
Cs 3.7859 16.4656 -2.0315
Cs 1.5993 14.1241 0.3100
Cs 5.0752 8.7389 6.9845
Cs 0.3100 1.5993 14.1241
Cs 5.0752 12.8019 3.7859
Cs 11.0804 9.1711 7.4167
Cs 1.5993 7.4167 10.4604
Cs 3.7859 5.0752 12.8019
Cs -3.7859 5.6952 12.8019
Cs 9.1711 7.4167 11.0804
Cs -2.0315 14.5563 5.0752
Cs -3.3537 10.4604 9.1711
Cs -5.6952 12.8019 6.9845
Cs 0.3100 12.3697 7.4167
Cs -2.0315 3.7859 16.4656
Cs 7.4167 11.0804 9.1711
Ag 0.0000 0.0000 0.0000
Ag 5.3852 5.3852 -5.3852
Ag 5.3852 -5.3852 5.3852
Ag 10.7704 0.0000 0.0000
Ag 16.1556 2.6926 0.0000
Ag 10.7704 -5.3852 8.0778
Ag 8.0778 10.7704 -5.3852
Ag 8.0778 0.0000 5.3852
Ag 5.3852 8.0778 0.0000
Ag 10.7704 5.3852 2.6926
Ag -5.3852 5.3852 5.3852
Ag 0.0000 10.7704 0.0000
Ag 0.0000 0.0000 10.7704
Ag 5.3852 5.3852 5.3852
Ag 0.0000 5.3852 8.0778
Ag 5.3852 2.6926 10.7704
Ag 2.6926 10.7704 5.3852
Ag 2.6926 0.0000 16.1556
Ag 0.0000 16.1556 2.6926
Ag -5.3852 8.0778 10.7704
As 5.3852 2.6926 0.0000
As 10.7704 5.3852 -2.6926
As 2.6926 0.0000 5.3852
As 13.4630 0.0000 5.3852
As 0.0000 5.3852 2.6926
As 5.3852 -2.6926 10.7704
As 5.3852 13.4630 0.0000
As 10.7704 5.3852 8.0778
As -2.6926 10.7704 5.3852
As 8.0778 10.7704 5.3852
As 0.0000 5.3852 13.4630
As 5.3852 8.0778 10.7704
```

(9)
## Cs2AgAs (PBE)

Data for an optimized crystal structure of Cs2AgAs.

Properties
- formation enthalpy at 0 K (meV/atom) = -174
- Fermi-level density of states (states/eV/cell) = 1.69
- SG = I-42d
- mass density (g/cm3) = 3.241

The structure in extended XYZ format:
```
8
Lattice="-6.8035 6.8035 2.4824 6.8035 -6.8035 2.4824 6.8035 6.8035 -2.4824" Properties=species:S:1:pos:R:3 pbc="T T T"
Cs -0.9864 3.4017 0.6206
Cs 3.4017 5.8171 1.8618
Cs 0.9864 10.2052 0.6206
Cs -3.4017 7.7899 1.8618
Ag 6.8035 0.0000 1.2412
Ag 0.0000 0.0000 2.4824
As 0.0000 0.0000 0.0000
As 0.0000 6.8035 1.2412
```

(10)
## Cs2AgAs (PBE)

Data for an optimized crystal structure of Cs2AgAs.

Properties
- formation enthalpy at 0 K (meV/atom) = -281
- Fermi-level density of states (states/eV/cell) = 0.18
- SG = C2
- mass density (g/cm3) = 4.311

The structure in extended XYZ format:
```
4
Lattice="6.0512 -3.2049 0.0000 6.0512 3.2049 0.0000 -1.9392 0.0000 4.4552" Properties=species:S:1:pos:R:3 pbc="T T T"
Cs 1.8366 0.0000 0.8051
Cs 8.3266 0.0000 3.6500
Ag 5.0816 0.6266 2.2276
As 6.0512 -0.0491 0.0000
```

(11)
## CsAgAs3 (PBE)

Data for an optimized crystal structure of CsAgAs3.

Properties
- formation enthalpy at 0 K (meV/atom) = 1824
- Fermi-level density of states (states/eV/cell) = 6.97
- SG = Pm-3m
- E above lowest polymorph (eV/f.u.) = 6.73
- mass density (g/cm3) = 4.072

The structure in extended XYZ format:
```
5
Lattice="5.7471 0.0000 0.0000 0.0000 5.7471 0.0000 0.0000 0.0000 5.7471" Properties=species:S:1:pos:R:3 pbc="T T T"
Cs 0.0000 0.0000 0.0000
Ag 2.8736 2.8736 2.8736
As 0.0000 0.0000 2.8736
As 0.0000 2.8736 0.0000
As 2.8736 0.0000 0.0000
```

(12)
## CsAgAs3 (PBE)

Data for an optimized crystal structure of CsAgAs3.

Properties
- formation enthalpy at 0 K (meV/atom) = 478
- Fermi-level density of states (states/eV/cell) = 4.94
- SG = Pm-3m
- E above lowest polymorph (eV/f.u.) = 0.00
- mass density (g/cm3) = 5.307

The structure in extended XYZ format:
```
5
Lattice="5.2616 0.0000 0.0000 0.0000 5.2616 0.0000 0.0000 0.0000 5.2616" Properties=species:S:1:pos:R:3 pbc="T T T"
Cs 0.0000 0.0000 0.0000
Ag 2.6308 2.6308 2.6308
As 0.0000 2.6308 2.6308
As 2.6308 0.0000 2.6308
As 2.6308 2.6308 0.0000
```

(13)
## CsAgAs (PBE)

Data for an optimized crystal structure of CsAgAs.

Properties
- formation enthalpy at 0 K (meV/atom) = -232
- Fermi-level density of states (states/eV/cell) = 0.13
- SG = Imm2
- E above lowest polymorph (eV/f.u.) = 0.00
- mass density (g/cm3) = 4.855

The structure in extended XYZ format:
```
6
Lattice="-2.3871 4.1716 5.4215 2.3871 -4.1716 5.4215 2.3871 4.1716 -5.4215" Properties=species:S:1:pos:R:3 pbc="T T T"
Cs 0.0000 0.0000 0.0000
Cs 0.0000 4.1716 0.9228
Ag 2.3871 -1.4857 2.8257
Ag 2.3871 1.4857 2.8257
As 2.3871 2.8678 -1.7832
As 0.0000 1.3037 3.6382
```

(14)
## Cs2AgAs (PBE)

Data for an optimized crystal structure of Cs2AgAs.

Properties
- formation enthalpy at 0 K (meV/atom) = 192
- Fermi-level density of states (states/eV/cell) = 5.86
- SG = Fm-3m
- mass density (g/cm3) = 4.406

The structure in extended XYZ format:
```
4
Lattice="0.0000 4.3889 4.3889 4.3889 0.0000 4.3889 4.3889 4.3889 0.0000" Properties=species:S:1:pos:R:3 pbc="T T T"
Cs 2.1944 2.1944 2.1944
Cs 6.5833 6.5833 6.5833
Ag 0.0000 0.0000 0.0000
As 4.3889 4.3889 4.3889
```

(15)
## CsAg4As12 (PBE)

Data for an optimized crystal structure of CsAg4As12.

Properties
- formation enthalpy at 0 K (meV/atom) = 14
- Fermi-level density of states (states/eV/cell) = 3.72
- SG = Im-3
- mass density (g/cm3) = 6.180

The structure in extended XYZ format:
```
17
Lattice="-4.6153 4.6153 4.6153 4.6153 -4.6153 4.6153 4.6153 4.6153 -4.6153" Properties=species:S:1:pos:R:3 pbc="T T T"
Cs 0.0000 0.0000 0.0000
Ag 2.3077 2.3077 -2.3077
Ag 2.3077 -2.3077 2.3077
Ag -2.3077 2.3077 2.3077
Ag 2.3077 2.3077 2.3077
As 3.3823 0.0000 1.2656
As 5.8484 0.0000 1.2656
As 4.6153 3.3497 -1.2331
As 1.2656 3.3823 0.0000
As 3.3497 -1.2331 4.6153
As 4.6153 3.3497 1.2331
As 0.0000 1.2656 3.3823
As 1.2656 5.8484 0.0000
As 3.3497 1.2331 4.6153
As 0.0000 1.2656 5.8484
As -1.2331 4.6153 3.3497
As 1.2331 4.6153 3.3497
```

(16)
## CsAgAs (PBE)

Data for an optimized crystal structure of CsAgAs.

Properties
- formation enthalpy at 0 K (meV/atom) = -135
- Fermi-level density of states (states/eV/cell) = 2.63
- SG = P2_1/m
- E above lowest polymorph (eV/f.u.) = 0.29
- mass density (g/cm3) = 5.044

The structure in extended XYZ format:
```
6
Lattice="5.8252 0.0000 0.0000 0.0000 4.2230 0.0000 -0.0412 0.0000 8.4494" Properties=species:S:1:pos:R:3 pbc="T T T"
Cs 0.0575 1.0557 2.0086
Cs 5.7265 3.1672 6.4408
Ag 2.8904 3.1672 3.3194
Ag 2.8936 1.0557 5.1300
As 2.6285 1.0557 7.7843
As 3.1555 3.1672 0.6651
```

(17)
## Cs4AgAs2 (PBE)

Data for an optimized crystal structure of Cs4AgAs2.

Properties
- formation enthalpy at 0 K (meV/atom) = -314
- Fermi-level density of states (states/eV/cell) = 6.49
- SG = R-3m
- mass density (g/cm3) = 3.891

The structure in extended XYZ format:
```
7
Lattice="3.1346 1.8098 9.8956 -3.1346 1.8098 9.8956 0.0000 -3.6196 9.8956" Properties=species:S:1:pos:R:3 pbc="T T T"
Cs 0.0000 0.0000 3.5973
Cs 0.0000 0.0000 8.6736
Cs 0.0000 0.0000 21.0133
Cs 0.0000 0.0000 26.0896
Ag 0.0000 0.0000 14.8435
As 0.0000 0.0000 12.3486
As 0.0000 0.0000 17.3383
```

(18)
## CsAgAsH2 (PBE)

Data for an optimized crystal structure of CsAgAsH2.

Properties
- calculated total energy (eV for the cell shown) = -13.5
- Fermi-level density of states (states/eV/cell) = 1.39
- SG = P4/mmm
- mass density (g/cm3) = 5.082

The structure in extended XYZ format:
```
5
Lattice="4.5548 0.0000 0.0000 0.0000 4.5548 0.0000 0.0000 0.0000 5.0034" Properties=species:S:1:pos:R:3 pbc="T T T"
Cs 0.0000 0.0000 0.0000
Ag 2.2774 2.2774 0.0000
As 2.2774 2.2774 2.5017
H 0.0000 2.2774 2.5017
H 2.2774 0.0000 2.5017
```

(19)
## CsAgHg2As (PBE)

Data for an optimized crystal structure of CsAgHg2As.

Properties
- formation enthalpy at 0 K (meV/atom) = 801
- Fermi-level density of states (states/eV/cell) = 5.38
- SG = P4/mmm
- E above lowest polymorph (eV/f.u.) = 4.12
- mass density (g/cm3) = 3.255

The structure in extended XYZ format:
```
5
Lattice="7.2855 0.0000 0.0000 0.0000 7.2855 0.0000 0.0000 0.0000 6.8902" Properties=species:S:1:pos:R:3 pbc="T T T"
Cs 0.0000 0.0000 0.0000
Ag 3.6427 3.6427 3.4451
Hg 0.0000 3.6427 0.0000
Hg 3.6427 0.0000 0.0000
As 0.0000 0.0000 3.4451
```

(20)
## CsAgHg2As (PBE)

Data for an optimized crystal structure of CsAgHg2As.

Properties
- formation enthalpy at 0 K (meV/atom) = -22
- Fermi-level density of states (states/eV/cell) = 1.62
- SG = P4/mmm
- E above lowest polymorph (eV/f.u.) = 0.00
- mass density (g/cm3) = 7.090

The structure in extended XYZ format:
```
5
Lattice="5.6527 0.0000 0.0000 0.0000 5.6527 0.0000 0.0000 0.0000 5.2549" Properties=species:S:1:pos:R:3 pbc="T T T"
Cs 0.0000 0.0000 0.0000
Ag 2.8263 2.8263 0.0000
Hg 0.0000 2.8263 2.6274
Hg 2.8263 0.0000 2.6274
As 2.8263 2.8263 2.6274
```